Crystalline Li2BeRu at its relaxed geometry. Source: Alexandria via LeMat-Bulk, functional GGA-PBE.

abc: 8.8493 2.4720 4.7671
angles: 90.00 110.40 90.00
Last column: nearest neighbours and their distance in Å.
Space group Cm (No. 8)
Unique sites:
Li  0.0000  0.0000  0.0000 (multiplicity 2)  5 Li 2.34-2.52, 2 Be 2.51
Li  0.2368  0.0000  0.8855 (multiplicity 2)  5 Li 2.34-2.52, 2 Be 2.57
Be  0.0164  0.5000  0.4682 (multiplicity 2)  3 Ru 2.38-2.42, 2 Be 2.47, 4 Li 2.51-2.57
Ru  0.2777  0.5000  0.4134 (multiplicity 2)  3 Be 2.38-2.42, 2 Ru 2.47

Output
**Volume**: 12.217 Å³ per atom
**E_form**: 0.088 eV per atom
**E_tot**: -4.1198 eV/atom
**Mass density**: 4.21 g/cm³